# HfB2Ru, single point on PBEsol structure, DFT SCAN
# Formation energy in eV per atom: -0.12
# Density of states at the Fermi level in states/eV per cell: 3.7
# ρ in g/cm³: 11.4
data_HfB2Ru
_symmetry_space_group_name_H-M 'F m -3 m'
_symmetry_Int_Tables_number 225
_symmetry_space_group_name_Hall '-F 4 2 3'
_cell_length_a 5.6029
_cell_length_b 5.6029
_cell_length_c 5.6029
_cell_angle_alpha 90.00
_cell_angle_beta 90.00
_cell_angle_gamma 90.00
loop_
_atom_site_label
_atom_site_type_symbol
_atom_site_fract_x
_atom_site_fract_y
_atom_site_fract_z
_atom_site_occupancy
Hf1 Hf 0.0000 0.0000 0.0000 1
B1 B 0.2500 0.2500 0.2500 1
Ru1 Ru 0.0000 0.0000 0.5000 1